(1)
{"formula": "InAgAu2", "functional": "PBE-GGA", "state": "relaxed", "lattice": [[-4.111, -2.095, -2.506], [-2.345, -4.488, -1.391], [-3.304, -0.756, 3.614]], "species": ["Au", "Au", "Ag", "In"], "frac_coords": [[0.002, 0.002, 0.016], [0.749, 0.749, 0.734], [0.252, 0.252, 0.231], [0.496, 0.496, 0.518]], "dft_energy_ev_per_atom": -3.13, "vol_a3_per_fu": 76, "formation_enthalpy_0k_ev_per_atom": -0.09, "crystal_system": "monoclinic"}



(2)
{"formula": "InAgAu3", "functional": "PBE-GGA", "state": "relaxed", "lattice": [[-3.751, -1.993, 2.410], [-2.035, -1.704, -4.577], [4.745, -5.380, 2.935]], "species": ["In", "In", "Ag", "Ag", "Au", "Au", "Au", "Au", "Au", "Au"], "frac_coords": [[0.250, 0.823, 0.381], [0.750, 0.177, 0.619], [0.250, 0.234, 0.184], [0.750, 0.766, 0.816], [0.750, 0.542, 0.408], [0.250, 0.458, 0.592], [0.750, 0.348, 0.012], [0.250, 0.059, 0.788], [0.250, 0.652, 0.988], [0.750, 0.941, 0.212]], "dft_energy_ev_per_atom": -3.17, "vol_a3_per_fu": 94, "relative_energy_kj_per_mol_atoms": 0.0, "formation_enthalpy_0k_ev_per_atom": -0.08, "crystal_system": "monoclinic"}



(3)
{"formula": "In2Ag2Au3", "functional": "PBE-GGA", "state": "relaxed", "lattice": [[-1.908, 2.998, -0.378], [-3.765, -4.764, -1.883], [-0.463, 0.571, 6.865]], "species": ["In", "In", "Ag", "Ag", "Au", "Au", "Au"], "frac_coords": [[0.799, 0.599, 0.803], [0.201, 0.401, 0.197], [0.908, 0.816, 0.248], [0.092, 0.184, 0.752], [0.500, 0.000, 0.000], [0.608, 0.216, 0.437], [0.392, 0.784, 0.563]], "dft_energy_ev_per_atom": -3.08, "vol_a3_per_fu": 142, "relative_energy_kj_per_mol_atoms": 1.7, "formation_enthalpy_0k_ev_per_atom": -0.07, "crystal_system": "monoclinic"}



(4)
{"formula": "InAg3Au", "functional": "PBE-GGA", "state": "relaxed", "lattice": [[-3.964, -1.027, -2.532], [1.892, -4.795, -1.016], [-6.532, -5.191, 12.332]], "species": ["In", "In", "In", "In", "Ag", "Ag", "Ag", "Ag", "Ag", "Ag", "Ag", "Ag", "Ag", "Ag", "Ag", "Ag", "Au", "Au", "Au", "Au"], "frac_coords": [[0.250, 0.844, 0.808], [0.750, 0.656, 0.308], [0.750, 0.156, 0.192], [0.250, 0.344, 0.692], [0.250, 0.320, 0.300], [0.750, 0.180, 0.800], [0.750, 0.680, 0.700], [0.250, 0.820, 0.200], [0.250, 0.333, 0.495], [0.750, 0.167, 0.995], [0.750, 0.667, 0.505], [0.250, 0.833, 0.005], [0.250, 0.340, 0.903], [0.750, 0.160, 0.403], [0.750, 0.660, 0.097], [0.250, 0.840, 0.597], [0.250, 0.329, 0.099], [0.750, 0.171, 0.599], [0.750, 0.671, 0.901], [0.250, 0.829, 0.401]], "dft_energy_ev_per_atom": -2.96, "vol_a3_per_fu": 94, "relative_energy_kj_per_mol_atoms": 0.0, "formation_enthalpy_0k_ev_per_atom": -0.04, "crystal_system": "orthorhombic"}



(5)
{"formula": "InAgAu2", "functional": "PBE-GGA", "state": "relaxed", "lattice": [[5.276, 0.115, 0.000], [1.901, 4.923, 0.000], [-3.588, -2.519, 2.937]], "species": ["Au", "Au", "Ag", "In"], "frac_coords": [[0.000, 0.000, 0.000], [0.250, 0.750, 0.500], [0.750, 0.250, 0.500], [0.500, 0.500, 0.000]], "dft_energy_ev_per_atom": -3.16, "vol_a3_per_fu": 76, "formation_enthalpy_0k_ev_per_atom": -0.12, "crystal_system": "tetragonal"}



(6)
{"formula": "In5Ag2Au12", "functional": "PBE-GGA", "state": "relaxed", "lattice": [[7.379, 0.000, 0.000], [-3.690, 7.645, -0.007], [0.000, -2.673, 7.432]], "species": ["In", "In", "In", "In", "In", "Ag", "Ag", "Au", "Au", "Au", "Au", "Au", "Au", "Au", "Au", "Au", "Au", "Au", "Au"], "frac_coords": [[0.246, 0.492, 0.656], [0.370, 0.740, 0.147], [0.000, 0.000, 0.500], [0.630, 0.260, 0.853], [0.754, 0.508, 0.344], [0.815, 0.000, 0.000], [0.185, 0.000, 0.000], [0.117, 0.234, 0.306], [0.001, 0.603, 0.896], [0.602, 0.603, 0.896], [0.188, 0.759, 0.469], [0.571, 0.759, 0.469], [0.440, 0.881, 0.805], [0.560, 0.119, 0.195], [0.812, 0.241, 0.531], [0.429, 0.241, 0.531], [0.999, 0.397, 0.104], [0.398, 0.397, 0.104], [0.883, 0.766, 0.694]], "dft_energy_ev_per_atom": -3.12, "vol_a3_per_fu": 419, "relative_energy_kj_per_mol_atoms": 3.5, "formation_enthalpy_0k_ev_per_atom": -0.03, "crystal_system": "monoclinic"}



(7)
{"formula": "InAgAu2", "functional": "PBE-GGA", "state": "relaxed", "lattice": [[-4.760, 4.366, -0.489], [3.002, -5.052, 2.726], [5.897, -0.143, 2.677]], "species": ["Au", "Au", "Ag", "In"], "frac_coords": [[0.000, 0.248, 0.248], [0.000, 0.752, 0.752], [0.000, 0.000, 0.000], [0.000, 0.500, 0.500]], "dft_energy_ev_per_atom": -2.98, "vol_a3_per_fu": 83, "formation_enthalpy_0k_ev_per_atom": 0.06, "crystal_system": "orthorhombic"}



(8)
{"formula": "In2AgAu", "functional": "PBE-GGA", "state": "relaxed", "lattice": [[-3.508, 2.676, -0.299], [-1.417, -1.416, 3.943], [2.465, 7.565, 6.084]], "species": ["Au", "Au", "Ag", "Ag", "In", "In", "In", "In"], "frac_coords": [[0.000, 0.000, 0.000], [0.750, 0.250, 0.500], [0.500, 0.500, 0.000], [0.250, 0.750, 0.500], [0.624, 0.125, 0.250], [0.126, 0.625, 0.250], [0.375, 0.376, 0.750], [0.875, 0.874, 0.750]], "dft_energy_ev_per_atom": -2.89, "vol_a3_per_fu": 93, "formation_enthalpy_0k_ev_per_atom": 0.01, "crystal_system": "tetragonal"}



(9)
{"formula": "InAg2Au", "functional": "PBE-GGA", "state": "relaxed", "lattice": [[-1.194, -4.624, 0.873], [5.519, -1.676, -1.325], [2.784, 1.187, 10.096]], "species": ["In", "In", "In", "In", "Ag", "Ag", "Ag", "Ag", "Ag", "Ag", "Ag", "Ag", "Au", "Au", "Au", "Au"], "frac_coords": [[0.250, 0.493, 0.665], [0.250, 0.007, 0.165], [0.750, 0.507, 0.335], [0.750, 0.993, 0.835], [0.250, 0.995, 0.665], [0.250, 0.505, 0.165], [0.750, 0.005, 0.335], [0.750, 0.495, 0.835], [0.250, 0.763, 0.418], [0.250, 0.737, 0.918], [0.750, 0.237, 0.582], [0.750, 0.263, 0.082], [0.250, 0.256, 0.415], [0.250, 0.244, 0.915], [0.750, 0.744, 0.585], [0.750, 0.756, 0.085]], "dft_energy_ev_per_atom": -3.02, "vol_a3_per_fu": 76, "formation_enthalpy_0k_ev_per_atom": -0.09, "crystal_system": "orthorhombic"}



(10)
{"formula": "InAg4Au4", "functional": "PBE-GGA", "state": "relaxed", "lattice": [[3.933, 0.000, 1.332], [1.967, 6.311, 0.666], [-0.058, 0.000, 6.644]], "species": ["In", "Ag", "Ag", "Ag", "Ag", "Au", "Au", "Au", "Au"], "frac_coords": [[0.000, 0.000, 0.000], [0.000, 0.664, 0.336], [0.000, 0.336, 0.664], [0.664, 0.336, 0.336], [0.336, 0.664, 0.664], [0.332, 0.336, 0.000], [0.668, 0.664, 0.000], [0.668, 0.000, 0.664], [0.332, 0.000, 0.336]], "dft_energy_ev_per_atom": -3.10, "vol_a3_per_fu": 165, "relative_energy_kj_per_mol_atoms": 0.0, "formation_enthalpy_0k_ev_per_atom": -0.07, "crystal_system": "tetragonal"}